DFT (PBE) results for Tl3CuAu2Br9 after structural relaxation.

- N(E_F) (states/eV/cell) = 4.2
- uncorrected formation energy (kJ per mole of atoms) = -41

a b c (Å): 7.5026 7.5026 9.2383
angles (deg): 90.00 90.00 120.00
Last column: nearest neighbours and their distance in Å.
Space group P-3m1 (No. 164)
Symmetry-distinct sites (fractional):
Tl: 0.0000 0.0000 0.0000  12 Br 3.75-3.78
Tl: 0.3333 0.6667 0.6432  12 Br 3.58-3.94
Cu: 0.0000 0.0000 0.5000  6 Br 2.58
Au: 0.3333 0.6667 0.1707  6 Br 2.68-2.71
Br: 0.0000 0.5000 0.0000  2 Au 2.68
Br: 0.1626 0.3253 0.3389  1 Cu 2.58, 1 Au 2.71